[1]
A relaxed structure of Ba2IrCl, computed with PBEsol.

crystal system: tetragonal
formation energy from raw total energies: -0.88 eV per atom

The structure in CIF format:
```
data_Ba2IrCl
_chemical_formula_sum 'Ba2 Ir1 Cl1'
_cell_length_a 3.7209
_cell_length_b 3.7209
_cell_length_c 8.0363
_cell_angle_alpha 90.00
_cell_angle_beta 90.00
_cell_angle_gamma 90.00
_space_group_name_H-M_alt 'P 4/m m m'
_space_group_IT_number 123
_space_group_name_Hall '-P 4 2'
loop_
_atom_site_label
_atom_site_type_symbol
_atom_site_fract_x
_atom_site_fract_y
_atom_site_fract_z
Ba1 Ba 0.0000 0.0000 0.2246
Ir1 Ir 0.5000 0.5000 0.0000
Cl1 Cl 0.5000 0.5000 0.5000
```

---

[2]
A relaxed structure of CaTiPt3, computed with PBEsol.

crystal system: cubic
formation energy from the elements: -14.0 kJ per mole of atoms

The structure in CIF format:
```
data_CaTiPt3
_chemical_formula_sum 'Ca1 Ti1 Pt3'
_cell_length_a 4.7034
_cell_length_b 4.7034
_cell_length_c 4.7034
_cell_angle_alpha 90.00
_cell_angle_beta 90.00
_cell_angle_gamma 90.00
_space_group_name_H-M_alt 'P m -3 m'
_space_group_IT_number 221
_space_group_name_Hall '-P 4 2 3'
loop_
_atom_site_label
_atom_site_type_symbol
_atom_site_fract_x
_atom_site_fract_y
_atom_site_fract_z
Ca1 Ca 0.0000 0.0000 0.0000
Ti1 Ti 0.5000 0.5000 0.5000
Pt1 Pt 0.0000 0.5000 0.5000
```

---

[3]
A relaxed structure of ScOsRu2, computed with PBEsol.

crystal system: orthorhombic
formation energy from the elements: 3.7 kJ per mole of atoms

The structure in CIF format:
```
data_ScOsRu2
_chemical_formula_sum 'Sc2 Os2 Ru4'
_cell_length_a 2.8182
_cell_length_b 4.3757
_cell_length_c 9.7672
_cell_angle_alpha 90.00
_cell_angle_beta 90.00
_cell_angle_gamma 90.00
_space_group_name_H-M_alt 'I m m 2'
_space_group_IT_number 44
loop_
_space_group_symop_operation_xyz
'x,y,z'
'-x,-y,z'
'-x,y,z'
'x,-y,z'
'x+1/2,y+1/2,z+1/2'
'-x+1/2,-y+1/2,z+1/2'
'-x+1/2,y+1/2,z+1/2'
'x+1/2,-y+1/2,z+1/2'
loop_
_atom_site_label
_atom_site_type_symbol
_atom_site_fract_x
_atom_site_fract_y
_atom_site_fract_z
Sc1 Sc 0.0000 0.0000 0.0000
Os1 Os 0.0000 0.5000 0.7787
Ru1 Ru 0.0000 0.0000 0.4991
Ru2 Ru 0.0000 0.5000 0.2222
```

---

[4]
A relaxed structure of MnReCl2, computed with PBEsol.

crystal system: monoclinic
formation energy from raw total energies: 0.56 eV per atom

The structure in CIF format:
```
data_MnReCl2
_chemical_formula_sum 'Mn1 Re1 Cl2'
_cell_length_a 2.8546
_cell_length_b 4.0108
_cell_length_c 5.5998
_cell_angle_alpha 90.00
_cell_angle_beta 100.59
_cell_angle_gamma 90.00
_space_group_name_H-M_alt 'P 1 2/m 1'
_space_group_IT_number 10
loop_
_space_group_symop_operation_xyz
'x,y,z'
'-x,-y,-z'
'-x,y,-z'
'x,-y,z'
loop_
_atom_site_label
_atom_site_type_symbol
_atom_site_fract_x
_atom_site_fract_y
_atom_site_fract_z
Mn1 Mn 0.0000 0.0000 0.0000
Re1 Re 0.5000 0.0000 0.5000
Cl1 Cl 0.4099 0.5000 0.2518
```

---

[5]
A relaxed structure of MnTcP, computed with PBEsol.

crystal system: orthorhombic
formation energy from the elements: 6.8 kJ per mole of atoms

The structure in CIF format:
```
data_MnTcP
_chemical_formula_sum 'Mn4 Tc4 P4'
_cell_length_a 3.1144
_cell_length_b 4.5250
_cell_length_c 10.8181
_cell_angle_alpha 90.00
_cell_angle_beta 90.00
_cell_angle_gamma 90.00
_space_group_name_H-M_alt 'F m m 2'
_space_group_IT_number 42
_space_group_name_Hall 'F 2 -2'
loop_
_atom_site_label
_atom_site_type_symbol
_atom_site_fract_x
_atom_site_fract_y
_atom_site_fract_z
Mn1 Mn 0.0000 0.0000 0.0000
Tc1 Tc 0.0000 0.0000 0.3057
P1 P 0.0000 0.0000 0.6463
```

---

[6]
A relaxed structure of BaCa2Ir, computed with PBEsol.

crystal system: trigonal
formation energy from the elements: 5.2 kJ per mole of atoms

The structure in CIF format:
```
data_BaCa2Ir
_chemical_formula_sum 'Ba3 Ca6 Ir3'
_cell_length_a 4.2729
_cell_length_b 4.2729
_cell_length_c 27.4411
_cell_angle_alpha 90.00
_cell_angle_beta 90.00
_cell_angle_gamma 120.00
_space_group_name_H-M_alt 'R -3 m'
_space_group_IT_number 166
_space_group_name_Hall '-R 3 2"'
loop_
_atom_site_label
_atom_site_type_symbol
_atom_site_fract_x
_atom_site_fract_y
_atom_site_fract_z
Ba1 Ba 0.0000 0.0000 0.0000
Ca1 Ca 0.0000 0.0000 0.2137
Ir1 Ir 0.0000 0.0000 0.5000
```

---

[7]
A relaxed structure of Ca3NiSb, computed with PBEsol.

crystal system: cubic
formation energy from raw total energies: 0.28 eV per atom

The structure in CIF format:
```
data_Ca3NiSb
_chemical_formula_sum 'Ca3 Ni1 Sb1'
_cell_length_a 5.7546
_cell_length_b 5.7546
_cell_length_c 5.7546
_cell_angle_alpha 90.00
_cell_angle_beta 90.00
_cell_angle_gamma 90.00
_space_group_name_H-M_alt 'P m -3 m'
_space_group_IT_number 221
_space_group_name_Hall '-P 4 2 3'
loop_
_atom_site_label
_atom_site_type_symbol
_atom_site_fract_x
_atom_site_fract_y
_atom_site_fract_z
Ca1 Ca 0.0000 0.0000 0.5000
Ni1 Ni 0.5000 0.5000 0.5000
Sb1 Sb 0.0000 0.0000 0.0000
```

---

[8]
A relaxed structure of TePdF3, computed with PBEsol.

crystal system: cubic
formation energy from raw total energies: -0.63 eV per atom

The structure in CIF format:
```
data_TePdF3
_chemical_formula_sum 'Te1 Pd1 F3'
_cell_length_a 4.4479
_cell_length_b 4.4479
_cell_length_c 4.4479
_cell_angle_alpha 90.00
_cell_angle_beta 90.00
_cell_angle_gamma 90.00
_space_group_name_H-M_alt 'P m -3 m'
_space_group_IT_number 221
_space_group_name_Hall '-P 4 2 3'
loop_
_atom_site_label
_atom_site_type_symbol
_atom_site_fract_x
_atom_site_fract_y
_atom_site_fract_z
Te1 Te 0.0000 0.0000 0.0000
Pd1 Pd 0.5000 0.5000 0.5000
F1 F 0.0000 0.0000 0.5000
```

---

| no. | size of the total moment (μB per cell) | DOS(E_F) (states/eV/f.u.) |
| --- | --- | --- |
| 1 | 0.000 | 1.2 |
| 2 | 0.000 | 2.7 |
| 3 | 0.001 | 4.0 |
| 4 | 4.332 | 2.5 |
| 5 | 9.255 | 2.8 |
| 6 | 0.001 | 3.2 |
| 7 | 0.393 | 7.5 |
| 8 | 0.002 | 3.6 |